This record from Alexandria describes a geometry-optimized DySnOsO6 structure. The functional is PBE.

**Formation energy (no corrections)**: -1.77 eV per atom
**Uncorrected energy**: -131.0 eV/cell
**DOS(E_F)**: 4.4 states/eV/cell

```
data_DySnOsO6
_chemical_formula_sum 'Dy2 Sn2 Os2 O12'
_symmetry_space_group_name_H-M 'P -3 1 c'
_symmetry_Int_Tables_number 163
_symmetry_space_group_name_Hall '-P 3 2c'
_cell_length_a 5.3942
_cell_length_b 5.3942
_cell_length_c 9.0055
_cell_angle_alpha 90.00
_cell_angle_beta 90.00
_cell_angle_gamma 120.00
loop_
_atom_site_label
_atom_site_fract_x
_atom_site_fract_y
_atom_site_fract_z
_atom_site_occupancy
Dy1 0.3333 0.6667 0.2500 1
Sn1 0.0000 0.0000 0.0000 1
Os1 0.3333 0.6667 0.7500 1
O1 0.0372 0.3521 0.6256 1
```

---

This record from Alexandria describes a geometry-optimized Ca2AlGe structure. The functional is PBE.

**E_form**: -0.347 eV/atom
**Uncorrected energy**: -13.8 eV/cell
**DOS(E_F)**: 1.3 states/eV/cell

```
data_Ca2AlGe
_chemical_formula_sum 'Ca2 Al1 Ge1'
_symmetry_space_group_name_H-M 'P 4/m m m'
_symmetry_Int_Tables_number 123
_symmetry_space_group_name_Hall '-P 4 2'
_cell_length_a 3.6956
_cell_length_b 3.6956
_cell_length_c 7.2635
_cell_angle_alpha 90.00
_cell_angle_beta 90.00
_cell_angle_gamma 90.00
loop_
_atom_site_label
_atom_site_fract_x
_atom_site_fract_y
_atom_site_fract_z
_atom_site_occupancy
Ca1 0.0000 0.0000 0.2425 1
Al1 0.5000 0.5000 0.5000 1
Ge1 0.5000 0.5000 0.0000 1
```

---

This record from Alexandria describes a geometry-optimized AcLuPbAu structure. The functional is PBE.

**E_form**: -0.514 eV/atom
**Uncorrected energy**: -70.7 eV/cell
**DOS(E_F)**: 16.6 states/eV/cell

```
data_AcLuPbAu
_chemical_formula_sum 'Ac4 Lu4 Pb4 Au4'
_symmetry_space_group_name_H-M 'F -4 3 m'
_symmetry_Int_Tables_number 216
_symmetry_space_group_name_Hall 'F -4 2 3'
_cell_length_a 7.7470
_cell_length_b 7.7470
_cell_length_c 7.7470
_cell_angle_alpha 90.00
_cell_angle_beta 90.00
_cell_angle_gamma 90.00
loop_
_atom_site_label
_atom_site_fract_x
_atom_site_fract_y
_atom_site_fract_z
_atom_site_occupancy
Ac1 0.0000 0.0000 0.0000 1
Lu1 0.0000 0.0000 0.5000 1
Pb1 0.2500 0.2500 0.2500 1
Au1 0.2500 0.2500 0.7500 1
```

---

This record from Alexandria describes a geometry-optimized MnPAuSN structure. The functional is PBE.

**Formation energy (no corrections)**: -0.05 eV per atom
**Uncorrected energy**: -61.2 eV/cell
**DOS(E_F)**: 3.5 states/eV/cell
**Offset from the most stable computed form**: 42.5 meV per atom

```
data_MnPAuSN
_chemical_formula_sum 'Mn2 P2 Au2 S2 N2'
_symmetry_space_group_name_H-M 'C 1 m 1'
_symmetry_Int_Tables_number 8
_symmetry_space_group_name_Hall 'C -2y'
_cell_length_a 7.4727
_cell_length_b 2.7987
_cell_length_c 8.2125
_cell_angle_alpha 90.00
_cell_angle_beta 113.35
_cell_angle_gamma 90.00
loop_
_atom_site_label
_atom_site_fract_x
_atom_site_fract_y
_atom_site_fract_z
_atom_site_occupancy
Mn1 0.0000 0.0000 0.0000 1
P1 0.3860 0.5000 0.2298 1
Au1 0.1017 0.0000 0.5306 1
S1 0.2601 0.0000 0.8502 1
N1 0.2441 0.0000 0.2030 1
```

---

This record from Alexandria describes a geometry-optimized Pr5Sm2Sn5 structure. The functional is PBE.

**E_form**: -0.552 eV/atom
**Uncorrected energy**: -119.9 eV/cell
**DOS(E_F)**: 15.2 states/eV/cell

```
data_Pr5Sm2Sn5
_chemical_formula_sum 'Pr10 Sm4 Sn10'
_symmetry_space_group_name_H-M 'C 1 2/m 1'
_symmetry_Int_Tables_number 12
_symmetry_space_group_name_Hall '-C 2y'
_cell_length_a 15.0978
_cell_length_b 4.4970
_cell_length_c 13.0870
_cell_angle_alpha 90.00
_cell_angle_beta 109.26
_cell_angle_gamma 90.00
loop_
_atom_site_label
_atom_site_fract_x
_atom_site_fract_y
_atom_site_fract_z
_atom_site_occupancy
Pr1 0.0000 0.0000 0.0000 1
Pr2 0.1601 0.0000 0.5420 1
Pr3 0.2289 0.0000 0.8458 1
Sm1 0.0486 0.5000 0.2858 1
Sn1 0.0000 0.5000 0.5000 1
Sn2 0.1163 0.5000 0.9265 1
Sn3 0.1953 0.0000 0.2949 1
```

---

This record from Alexandria describes a geometry-optimized Zr2InW structure. The functional is PBE.

**E_form**: 0.256 eV/atom
**Uncorrected energy**: -31.8 eV/cell
**DOS(E_F)**: 4.0 states/eV/cell

```
data_Zr2InW
_chemical_formula_sum 'Zr2 In1 W1'
_symmetry_space_group_name_H-M 'P 4 m m'
_symmetry_Int_Tables_number 99
_symmetry_space_group_name_Hall 'P 4 -2'
_cell_length_a 2.9385
_cell_length_b 2.9385
_cell_length_c 9.5513
_cell_angle_alpha 90.00
_cell_angle_beta 90.00
_cell_angle_gamma 90.00
loop_
_atom_site_label
_atom_site_fract_x
_atom_site_fract_y
_atom_site_fract_z
_atom_site_occupancy
Zr1 0.0000 0.0000 0.0000 1
Zr2 0.5000 0.5000 0.2655 1
In1 0.0000 0.0000 0.5227 1
W1 0.5000 0.5000 0.7525 1
```

---

This record from Alexandria describes a geometry-optimized BaCaCl2 structure. The functional is PBE.

**Formation energy (no corrections)**: -1.69 eV per atom
**Uncorrected energy**: -14.4 eV/cell
**DOS(E_F)**: 1.4 states/eV/cell
**Offset from the most stable computed form**: 2.4 meV per atom

```
data_BaCaCl2
_chemical_formula_sum 'Ba1 Ca1 Cl2'
_symmetry_space_group_name_H-M 'P m m 2'
_symmetry_Int_Tables_number 25
_symmetry_space_group_name_Hall 'P 2 -2'
_cell_length_a 4.8785
_cell_length_b 4.9126
_cell_length_c 6.6995
_cell_angle_alpha 90.00
_cell_angle_beta 90.00
_cell_angle_gamma 90.00
loop_
_atom_site_label
_atom_site_fract_x
_atom_site_fract_y
_atom_site_fract_z
_atom_site_occupancy
Ba1 0.0000 0.0000 0.0000 1
Ca1 0.5000 0.5000 0.5117 1
Cl1 0.0000 0.5000 0.3019 1
Cl2 0.5000 0.0000 0.3069 1
```

---

This record from Alexandria describes a geometry-optimized CsCdIn structure. The functional is PBE.

**E_form**: -0.014 eV/atom
**Uncorrected energy**: -9.1 eV/cell
**DOS(E_F)**: 2.3 states/eV/cell
**Offset from the most stable computed form**: 70.6 meV per atom

```
data_CsCdIn
_chemical_formula_sum 'Cs2 Cd2 In2'
_symmetry_space_group_name_H-M 'I 4 m m'
_symmetry_Int_Tables_number 107
_symmetry_space_group_name_Hall 'I 4 -2'
_cell_length_a 4.0825
_cell_length_b 4.0825
_cell_length_c 13.9130
_cell_angle_alpha 90.00
_cell_angle_beta 90.00
_cell_angle_gamma 90.00
loop_
_atom_site_label
_atom_site_fract_x
_atom_site_fract_y
_atom_site_fract_z
_atom_site_occupancy
Cs1 0.0000 0.0000 0.0000 1
Cd1 0.0000 0.0000 0.2891 1
In1 0.0000 0.0000 0.7107 1
```

---

This record from Alexandria describes a geometry-optimized RbTlTe2N structure. The functional is PBE.

**Formation energy (no corrections)**: 1.16 eV per atom
**Uncorrected energy**: -12.2 eV/cell
**DOS(E_F)**: 5.0 states/eV/cell
**Offset from the most stable computed form**: 549.2 meV per atom

```
data_RbTlTe2N
_chemical_formula_sum 'Rb1 Tl1 Te2 N1'
_symmetry_space_group_name_H-M 'P 4/m m m'
_symmetry_Int_Tables_number 123
_symmetry_space_group_name_Hall '-P 4 2'
_cell_length_a 6.7056
_cell_length_b 6.7056
_cell_length_c 5.4004
_cell_angle_alpha 90.00
_cell_angle_beta 90.00
_cell_angle_gamma 90.00
loop_
_atom_site_label
_atom_site_fract_x
_atom_site_fract_y
_atom_site_fract_z
_atom_site_occupancy
Rb1 0.0000 0.0000 0.0000 1
Tl1 0.5000 0.5000 0.5000 1
Te1 0.0000 0.5000 0.0000 1
N1 0.0000 0.0000 0.5000 1
```

---

This record from Alexandria describes a geometry-optimized CrMo2Ir structure. The functional is PBE.

**E_form**: 0.096 eV/atom
**Uncorrected energy**: -39.8 eV/cell
**DOS(E_F)**: 4.9 states/eV/cell
**Offset from the most stable computed form**: 80.4 meV per atom

```
data_CrMo2Ir
_chemical_formula_sum 'Cr1 Mo2 Ir1'
_symmetry_space_group_name_H-M 'P 4 m m'
_symmetry_Int_Tables_number 99
_symmetry_space_group_name_Hall 'P 4 -2'
_cell_length_a 3.1099
_cell_length_b 3.1099
_cell_length_c 6.1250
_cell_angle_alpha 90.00
_cell_angle_beta 90.00
_cell_angle_gamma 90.00
loop_
_atom_site_label
_atom_site_fract_x
_atom_site_fract_y
_atom_site_fract_z
_atom_site_occupancy
Cr1 0.0000 0.0000 0.0000 1
Mo1 0.0000 0.0000 0.5236 1
Mo2 0.5000 0.5000 0.7827 1
Ir1 0.5000 0.5000 0.2582 1
```

---

This record from Alexandria describes a geometry-optimized LiTi2Sn2 structure. The functional is PBE.

**E_form**: -0.178 eV/atom
**Uncorrected energy**: -53.2 eV/cell
**DOS(E_F)**: 4.2 states/eV/cell
**Offset from the most stable computed form**: 0.0 meV per atom

```
data_LiTi2Sn2
_chemical_formula_sum 'Li2 Ti4 Sn4'
_symmetry_space_group_name_H-M 'P 4/m b m'
_symmetry_Int_Tables_number 127
_symmetry_space_group_name_Hall '-P 4 2ab'
_cell_length_a 8.2767
_cell_length_b 8.2767
_cell_length_c 3.0611
_cell_angle_alpha 90.00
_cell_angle_beta 90.00
_cell_angle_gamma 90.00
loop_
_atom_site_label
_atom_site_fract_x
_atom_site_fract_y
_atom_site_fract_z
_atom_site_occupancy
Li1 0.0000 0.0000 0.0000 1
Ti1 0.1167 0.3833 0.0000 1
Sn1 0.1786 0.6786 0.5000 1
```

---

This record from Alexandria describes a geometry-optimized BaZrPb structure. The functional is PBE.

**E_form**: 0.243 eV/atom
**Uncorrected energy**: -13.4 eV/cell
**DOS(E_F)**: 3.9 states/eV/cell
**Offset from the most stable computed form**: 474.5 meV per atom

```
data_BaZrPb
_chemical_formula_sum 'Ba1 Zr1 Pb1'
_symmetry_space_group_name_H-M 'P 3 m 1'
_symmetry_Int_Tables_number 156
_symmetry_space_group_name_Hall 'P 3 -2"'
_cell_length_a 3.5751
_cell_length_b 3.5751
_cell_length_c 8.6589
_cell_angle_alpha 90.00
_cell_angle_beta 90.00
_cell_angle_gamma 120.00
loop_
_atom_site_label
_atom_site_fract_x
_atom_site_fract_y
_atom_site_fract_z
_atom_site_occupancy
Ba1 0.0000 0.0000 0.0000 1
Zr1 0.3333 0.6667 0.6470 1
Pb1 0.6667 0.3333 0.3611 1
```